The following is a DFT calculation (GGA+U) of crystalline LiFe2IO6 at its relaxed geometry.

Properties
As for the crystal system: orthorhombic. The value obtained for the energy is -110.7 eV per cell. Its magnetic moment is 8.0 μB/f.u.

Cell and atoms, written as POSCAR:
```
LiFe2IO6
1.0
-1.5026 4.0246 -2.9618
-3.8946 -2.8032 -1.8332
-5.1101 2.8636 6.4777
Li Fe I O
2 4 2 12
direct
0.5000 0.0000 0.0000
0.0000 0.5000 0.5000
0.0002 0.9999 0.2946
0.5002 0.5001 0.7946
0.9998 0.0001 0.7054
0.4998 0.4999 0.2054
0.5000 0.0000 0.5000
0.0000 0.5000 0.0000
0.3117 0.6910 0.0001
0.8117 0.8090 0.5001
0.6883 0.3090 0.9999
0.1883 0.1910 0.4999
0.3428 0.7822 0.3471
0.8428 0.7178 0.8471
0.6572 0.2178 0.6529
0.1572 0.2822 0.1529
0.8429 0.7172 0.1532
0.3429 0.7828 0.6532
0.1571 0.2828 0.8468
0.6571 0.2172 0.3468
```